Record 1
The following is a PBE calculation of crystalline PrHo2ScTl4 at its relaxed geometry, from Alexandria via LeMat-Bulk.

Lattice parameters (Å, degrees): 9.323 9.323 9.323 33.28 33.28 33.28
Sites, in units of the cell vectors:
Pr (0.000, 0.000, 0.000)
Ho (0.248, 0.248, 0.248)
Ho (0.752, 0.752, 0.752)
Sc (0.500, 0.500, 0.500)
Tl (0.128, 0.128, 0.128)
Tl (0.379, 0.379, 0.379)
Tl (0.621, 0.621, 0.621)
Tl (0.872, 0.872, 0.872)

Results
Space group: R-3m, No. 166
ΔH_f (0 K) (eV/atom): -0.308

***

Record 2
The following is a PBE calculation of crystalline Pm3Al4Pd2 at its relaxed geometry, from Alexandria via LeMat-Bulk.

Lattice parameters (Å, degrees): 5.907 5.907 8.456 103.56 103.56 44.96
Sites, in units of the cell vectors:
Pm (0.000, 0.000, 0.000)
Pm (0.387, 0.387, 0.301)
Pm (0.613, 0.613, 0.699)
Al (0.104, 0.104, 0.417)
Al (0.277, 0.277, 0.922)
Al (0.723, 0.723, 0.078)
Al (0.896, 0.896, 0.583)
Pd (0.315, 0.315, 0.641)
Pd (0.685, 0.685, 0.359)

Results
Space group: C2/m, No. 12
ΔH_f (0 K) (eV/atom): -0.637
Distance to the lowest polymorph of the same formula (meV per atom): 32

***

Record 3
The following is a PBE calculation of crystalline Ba2Ag3Hg at its relaxed geometry, from Alexandria via LeMat-Bulk.

Lattice parameters (Å, degrees): 9.974 9.688 6.636 72.62 67.96 39.42
Sites, in units of the cell vectors:
Ba (0.249, 0.751, 0.751)
Ba (0.250, 0.250, 0.250)
Ba (0.750, 0.750, 0.750)
Ba (0.751, 0.249, 0.249)
Ag (0.172, 0.664, 0.336)
Ag (0.336, 0.336, 0.664)
Ag (0.336, 0.828, 0.172)
Ag (0.664, 0.172, 0.828)
Ag (0.664, 0.664, 0.336)
Ag (0.828, 0.336, 0.664)
Hg (0.167, 0.167, 0.833)
Hg (0.833, 0.833, 0.167)

Results
Space group: Fmmm, No. 69
ΔH_f (0 K) (eV/atom): -0.333

***

Record 4
The following is a PBE calculation of crystalline SmYTh2Sb5 at its relaxed geometry, from Alexandria via LeMat-Bulk.

Lattice parameters (Å, degrees): 5.327 5.327 11.504 90.00 90.00 90.00
Sites, in units of the cell vectors:
Sm (0.000, 0.000, 0.000)
Y (0.000, 0.000, 0.500)
Th (0.500, 0.500, 0.199)
Th (0.500, 0.500, 0.801)
Sb (0.000, 0.000, 0.254)
Sb (0.000, 0.000, 0.746)
Sb (0.000, 0.500, 0.000)
Sb (0.500, 0.000, 0.000)
Sb (0.500, 0.500, 0.500)

Results
Space group: P4/mmm, No. 123
Raw formation energy (kJ per mole of atoms): -11.1

***

Record 5
The following is a PBE calculation of crystalline Er3TmGa3 at its relaxed geometry, from Alexandria via LeMat-Bulk.

Lattice parameters (Å, degrees): 8.988 8.988 4.782 90.00 90.00 120.00
Sites, in units of the cell vectors:
Er (0.012, 0.252, 0.250)
Er (0.239, 0.988, 0.250)
Er (0.252, 0.239, 0.750)
Er (0.748, 0.761, 0.250)
Er (0.761, 0.012, 0.750)
Er (0.988, 0.748, 0.750)
Tm (0.333, 0.667, 0.750)
Tm (0.667, 0.333, 0.250)
Ga (0.059, 0.609, 0.250)
Ga (0.391, 0.450, 0.250)
Ga (0.450, 0.059, 0.750)
Ga (0.550, 0.941, 0.250)
Ga (0.609, 0.550, 0.750)
Ga (0.941, 0.391, 0.750)

Results
Space group: P6_3/m, No. 176
ΔH_f (0 K) (eV/atom): -0.410

***

Record 6
The following is a PBE calculation of crystalline LiAsPb2 at its relaxed geometry, from Alexandria via LeMat-Bulk.

Lattice parameters (Å, degrees): 4.076 4.076 22.367 90.00 90.00 120.00
Sites, in units of the cell vectors:
Li (0.000, 0.000, 0.000)
Li (0.333, 0.667, 0.667)
Li (0.667, 0.333, 0.333)
As (0.000, 0.000, 0.500)
As (0.333, 0.667, 0.167)
As (0.667, 0.333, 0.833)
Pb (0.000, 0.000, 0.246)
Pb (0.000, 0.000, 0.754)
Pb (0.333, 0.667, 0.421)
Pb (0.333, 0.667, 0.912)
Pb (0.667, 0.333, 0.088)
Pb (0.667, 0.333, 0.579)

Results
Space group: R-3m, No. 166
ΔH_f (0 K) (eV/atom): 0.017

***

Record 7
The following is a PBE calculation of crystalline RbLi2MgPb at its relaxed geometry, from Alexandria via LeMat-Bulk.

Lattice parameters (Å, degrees): 5.553 5.553 5.688 90.00 90.00 90.00
Sites, in units of the cell vectors:
Rb (0.000, 0.000, 0.000)
Li (0.000, 0.500, 0.500)
Li (0.500, 0.000, 0.500)
Mg (0.500, 0.500, 0.000)
Pb (0.500, 0.500, 0.500)

Results
Space group: P4/mmm, No. 123
ΔH_f (0 K) (eV/atom): -0.027

***

Record 8
The following is a PBE calculation of crystalline Cd2AgAu at its relaxed geometry, from Alexandria via LeMat-Bulk.

Lattice parameters (Å, degrees): 3.034 3.034 29.238 90.00 90.00 120.00
Sites, in units of the cell vectors:
Cd (0.000, 0.000, 0.250)
Cd (0.000, 0.000, 0.750)
Cd (0.333, 0.667, 0.417)
Cd (0.333, 0.667, 0.917)
Cd (0.667, 0.333, 0.083)
Cd (0.667, 0.333, 0.583)
Ag (0.000, 0.000, 0.000)
Ag (0.333, 0.667, 0.667)
Ag (0.667, 0.333, 0.333)
Au (0.000, 0.000, 0.500)
Au (0.333, 0.667, 0.167)
Au (0.667, 0.333, 0.833)

Results
Space group: R-3m, No. 166
ΔH_f (0 K) (eV/atom): -0.081
Distance to the lowest polymorph of the same formula (meV per atom): 49

***

Record 9
The following is a PBE calculation of crystalline Tm12TcSn6 at its relaxed geometry, from Alexandria via LeMat-Bulk.

Lattice parameters (Å, degrees): 8.502 8.502 8.502 99.67 99.67 99.67
Sites, in units of the cell vectors:
Tm (0.017, 0.945, 0.686)
Tm (0.055, 0.314, 0.983)
Tm (0.197, 0.554, 0.422)
Tm (0.314, 0.983, 0.055)
Tm (0.422, 0.197, 0.554)
Tm (0.446, 0.578, 0.803)
Tm (0.554, 0.422, 0.197)
Tm (0.578, 0.803, 0.446)
Tm (0.686, 0.017, 0.945)
Tm (0.803, 0.446, 0.578)
Tm (0.945, 0.686, 0.017)
Tm (0.983, 0.055, 0.314)
Tc (0.000, 0.000, 0.000)
Sn (0.123, 0.313, 0.641)
Sn (0.313, 0.641, 0.123)
Sn (0.359, 0.877, 0.687)
Sn (0.641, 0.123, 0.313)
Sn (0.687, 0.359, 0.877)
Sn (0.877, 0.687, 0.359)

Results
Space group: R-3, No. 148
ΔH_f (0 K) (eV/atom): -0.312

***

Record 10
The following is a PBE calculation of crystalline Ac2DySi at its relaxed geometry, from Alexandria via LeMat-Bulk.

Lattice parameters (Å, degrees): 4.121 4.121 33.038 90.00 90.00 120.00
Sites, in units of the cell vectors:
Ac (0.000, 0.000, 0.110)
Ac (0.000, 0.000, 0.890)
Ac (0.333, 0.667, 0.556)
Ac (0.333, 0.667, 0.777)
Ac (0.667, 0.333, 0.223)
Ac (0.667, 0.333, 0.444)
Dy (0.000, 0.000, 0.000)
Dy (0.333, 0.667, 0.667)
Dy (0.667, 0.333, 0.333)
Si (0.000, 0.000, 0.500)
Si (0.333, 0.667, 0.167)
Si (0.667, 0.333, 0.833)

Results
Space group: R-3m, No. 166
Raw formation energy (kJ per mole of atoms): 18.9
Distance to the lowest polymorph of the same formula (meV per atom): 275

***

Record 11
The following is a PBE calculation of crystalline Fe2HgAu at its relaxed geometry, from Alexandria via LeMat-Bulk.

Lattice parameters (Å, degrees): 3.011 4.646 9.140 90.00 90.00 90.00
Sites, in units of the cell vectors:
Fe (0.000, 0.000, 0.000)
Fe (0.000, 0.500, 0.297)
Fe (0.500, 0.000, 0.797)
Fe (0.500, 0.500, 0.500)
Hg (0.000, 0.000, 0.532)
Hg (0.500, 0.500, 0.032)
Au (0.000, 0.500, 0.754)
Au (0.500, 0.000, 0.254)

Results
Space group: Imm2, No. 44
ΔH_f (0 K) (eV/atom): 0.292

***

Record 12
The following is a PBE calculation of crystalline PuHgRh at its relaxed geometry, from Alexandria via LeMat-Bulk.

Lattice parameters (Å, degrees): 5.154 5.154 5.370 90.00 90.00 90.00
Sites, in units of the cell vectors:
Pu (0.250, 0.250, 0.157)
Pu (0.750, 0.750, 0.843)
Hg (0.250, 0.750, 0.500)
Hg (0.750, 0.250, 0.500)
Rh (0.250, 0.250, 0.705)
Rh (0.750, 0.750, 0.295)

Results
Space group: P4/nmm, No. 129
ΔH_f (0 K) (eV/atom): -0.092
Distance to the lowest polymorph of the same formula (meV per atom): 172

***

Number 1: raw total energy -32.20 eV for the cell shown. Number 2: raw total energy -45.34 eV for the cell shown. Number 3: raw total energy -29.39 eV for the cell shown. Number 4: raw total energy -47.67 eV for the cell shown. Number 5: raw total energy -60.22 eV for the cell shown. Number 6: raw total energy -41.74 eV for the cell shown. Number 7: raw total energy -10.23 eV for the cell shown. Number 8: raw total energy -24.85 eV for the cell shown. Number 9: raw total energy -93.96 eV for the cell shown. Number 10: raw total energy -52.38 eV for the cell shown. Number 11: raw total energy -38.67 eV for the cell shown. Number 12: raw total energy -44.52 eV for the cell shown.